Record 1
A plane-wave DFT calculation with PBE was carried out for crystalline Rb4NdI6 at its relaxed geometry.

Unit cell a=10.0676 b=10.0676 c=10.5272 alpha=90.00 beta=90.00 gamma=90.00
Space group P4/mnc (No. 128)
Symmetry-distinct sites (fractional):
Rb1 0.1694 0.3306 0.2500 (multiplicity 8)
Nd1 0.0000 0.0000 0.0000 (multiplicity 2)
I1 0.0000 0.0000 0.3003 (multiplicity 4)
I2 0.1015 0.6930 0.0000 (multiplicity 8)

Computed properties:
Calculated total energy, eV/atom: -3.00
Formation energy without anion corrections, meV/atom: -1369.7
Spin magnetization, μB/cell: 2.02

Record 2
A plane-wave DFT calculation with PBE was carried out for crystalline CdPPt2C at its relaxed geometry.

Unit cell a=4.2421 b=4.2421 c=4.2442 alpha=90.00 beta=90.00 gamma=90.00
Space group P4/mmm (No. 123)
Symmetry-distinct sites (fractional):
Cd1 0.0000 0.0000 0.0000 (multiplicity 1)
P1 0.5000 0.5000 0.0000 (multiplicity 1)
Pt1 0.0000 0.5000 0.5000 (multiplicity 2)
C1 0.5000 0.5000 0.5000 (multiplicity 1)

Computed properties:
Calculated total energy, eV/atom: -4.94
Spin magnetization, μB/cell: 0.00
Formation energy, eV/atom: 0.5833

Record 3
A plane-wave DFT calculation with PBE was carried out for crystalline SrFe2Pd2 at its relaxed geometry.

Unit cell a=7.7674 b=7.7674 c=2.8893 alpha=90.00 beta=90.00 gamma=90.00
Space group P4/mbm (No. 127)
Symmetry-distinct sites (fractional):
Sr1 0.0000 0.0000 0.0000 (multiplicity 2)
Fe1 0.1078 0.3922 0.0000 (multiplicity 4)
Pd1 0.1795 0.6795 0.5000 (multiplicity 4)

Computed properties:
Calculated total energy, eV/atom: -5.76
Spin magnetization, μB/cell: 12.67
Formation energy, eV/atom: 0.0385

Record 4
A plane-wave DFT calculation with PBE was carried out for crystalline Rb2BaRhF8 at its relaxed geometry.

Unit cell a=4.5359 b=8.0844 c=6.3965 alpha=90.00 beta=96.61 gamma=90.00
Space group P2/m (No. 10)
Symmetry-distinct sites (fractional):
Rb1 0.0000 0.2367 0.0000 (multiplicity 2)
Ba1 0.5000 0.5000 0.5000 (multiplicity 1)
Rh1 0.5000 0.0000 0.5000 (multiplicity 1)
F1 0.0202 0.5000 0.7340 (multiplicity 2)
F2 0.1267 0.0000 0.3253 (multiplicity 2)
F3 0.4073 0.1842 0.6873 (multiplicity 4)

Computed properties:
Calculated total energy, eV/atom: -4.72
Formation energy without anion corrections, meV/atom: -2540.3
Spin magnetization, μB/cell: 1.01

Record 5
A plane-wave DFT calculation with PBE was carried out for crystalline PrHo15Sc4 at its relaxed geometry.

Unit cell a=4.9276 b=4.9276 c=24.5862 alpha=90.00 beta=90.00 gamma=90.00
Space group P4/mmm (No. 123)
Symmetry-distinct sites (fractional):
Pr1 0.0000 0.0000 0.0000 (multiplicity 1)
Ho1 0.0000 0.5000 0.1053 (multiplicity 4)
Ho2 0.0000 0.5000 0.3027 (multiplicity 4)
Ho3 0.0000 0.5000 0.5000 (multiplicity 2)
Ho4 0.5000 0.5000 0.0000 (multiplicity 1)
Ho5 0.5000 0.5000 0.2048 (multiplicity 2)
Ho6 0.5000 0.5000 0.4014 (multiplicity 2)
Sc1 0.0000 0.0000 0.2037 (multiplicity 2)
Sc2 0.0000 0.0000 0.4013 (multiplicity 2)

Computed properties:
Calculated total energy, eV/atom: -4.90
Spin magnetization, μB/cell: 0.00
Formation energy, eV/atom: 0.0396

Record 6
A plane-wave DFT calculation with PBE was carried out for crystalline DyZn2Ni9 at its relaxed geometry.

Unit cell a=8.0523 b=8.0523 c=4.7299 alpha=90.00 beta=90.00 gamma=90.00
Space group P4/mbm (No. 127)
Symmetry-distinct sites (fractional):
Dy1 0.0000 0.0000 0.0000 (multiplicity 2)
Zn1 0.1180 0.3820 0.0000 (multiplicity 4)
Ni1 0.0000 0.5000 0.5000 (multiplicity 2)
Ni2 0.0637 0.2092 0.5000 (multiplicity 8)
Ni3 0.1787 0.6787 0.2421 (multiplicity 8)

Computed properties:
Polymorph energy (0 for the lowest one), meV per atom: 0
Calculated total energy, eV/atom: -5.16
Spin magnetization, μB/cell: 5.72
Formation energy, eV/atom: -0.2273

Record 7
A plane-wave DFT calculation with PBE was carried out for crystalline ZnB2H at its relaxed geometry.

Unit cell a=3.3108 b=3.3108 c=12.0345 alpha=90.00 beta=90.00 gamma=90.00
Space group I4_1/amd (No. 141, origin choice 2)
Symmetry-distinct sites (fractional):
Zn1 0.0000 0.2500 0.3750 (multiplicity 4)
B1 0.0000 0.0000 0.0000 (multiplicity 8)
H1 0.0000 0.2500 0.8750 (multiplicity 4)

Computed properties:
Polymorph energy (0 for the lowest one), meV per atom: 0
Calculated total energy, eV/atom: -3.85
Spin magnetization, μB/cell: 0.00

Record 8
A plane-wave DFT calculation with PBE was carried out for crystalline Pr5ErTh2 at its relaxed geometry.

Unit cell a=3.5730 b=11.5040 c=13.4869 alpha=90.00 beta=90.00 gamma=90.00
Space group Immm (No. 71)
Symmetry-distinct sites (fractional):
Pr1 0.0000 0.0000 0.0000 (multiplicity 2)
Pr2 0.0000 0.2596 0.3702 (multiplicity 8)
Er1 0.0000 0.5000 0.0000 (multiplicity 2)
Th1 0.0000 0.0000 0.2589 (multiplicity 4)

Computed properties:
Calculated total energy, eV/atom: -5.30
Spin magnetization, μB/cell: 0.00
Formation energy, eV/atom: 0.1098